DFT (PBE with a Hubbard U) results for Co2ReBF after structural relaxation.

## Properties
* space group: P4/mmm, No. 123
* raw total energy: -22.93 eV/cell
* theoretical density: 6.7 g/cm3
* calculated volume: 16.52 A^3/atom

Unit cell a=4.6109 b=4.6109 c=3.8863 alpha=90.00 beta=90.00 gamma=90.00
Each line ends with the local moment (μB).
Element x y z (fractional)
Re1 0.0000 0.0000 0.0000  0.20
B1 0.5000 0.5000 0.5000  -0.07
Co1 0.0000 0.5000 0.0000  1.82
Co2 0.5000 0.0000 0.0000  1.82
F1 0.0000 0.0000 0.5000  -0.02